The following is a DFT calculation (PBE) of a relaxed structure of Nd2ScC2Cl2.

a b c (Å): 4.319 4.319 8.088
angles (deg): 105.49 105.49 90.00
Atoms (fractional coordinates):
Nd 0.393 0.393 0.787
Nd 0.607 0.607 0.213
Sc 0.000 0.000 0.000
C 0.000 0.500 0.000
C 0.500 0.000 0.000
Cl 0.188 0.188 0.376
Cl 0.812 0.812 0.624

Results
SG   No. 139
Raw formation energy   -0.92 eV per atom